DFT (PBE) results for crystalline KCo2SiI at its relaxed geometry.

Calculated values
D(E_F) in states/eV per atom: 0.919
Formation energy (no corrections) in eV/f.u.: 10.581
Magnetic moment in μB per atom: 0.669

The structure in CIF format:
```
data_KCo2SiI
_chemical_formula_sum 'K1 Co2 Si1 I1'
_symmetry_space_group_name_H-M 'P 4/m m m'
_symmetry_Int_Tables_number 123
_symmetry_space_group_name_Hall '-P 4 2'
_cell_length_a 4.887
_cell_length_b 4.887
_cell_length_c 5.992
_cell_angle_alpha 90.00
_cell_angle_beta 90.00
_cell_angle_gamma 90.00
loop_
_atom_site_label
_atom_site_fract_x
_atom_site_fract_y
_atom_site_fract_z
K1 0.000 0.000 0.000
Co1 0.000 0.500 0.000
Si1 0.500 0.500 0.500
I1 0.000 0.000 0.500
```